A plane-wave DFT calculation with PBE with a Hubbard U was carried out for a geometry-optimized MgNiPdO4 structure.

Cell lengths 5.9472, 6.0864, 6.1062 Å; angles 120.11, 90.00, 119.25 degrees
Sites, in units of the cell vectors:
Mg1 0.8580 0.7160 0.1080
Mg2 0.1420 0.2840 0.8920
Ni1 0.5000 0.5000 0.5000
Ni2 0.0000 0.5000 0.5000
Pd1 0.5000 0.0000 0.5000
Pd2 0.5000 0.0000 0.0000
O1 0.7339 0.4679 0.7150
O2 0.2749 0.0086 0.2543
O3 0.7337 0.0086 0.2543
O4 0.7339 0.4679 0.2529
O5 0.2661 0.5321 0.7471
O6 0.7251 0.9914 0.7457
O7 0.2663 0.9914 0.7457
O8 0.2661 0.5321 0.2850

Results
The total moment is 0.28 μB per atom. The calculation puts the total energy at -5.43 eV/atom. The value obtained for the mass density is 5.33 g cm⁻³. The calculation puts the density of states at the Fermi level at 0.50 states/eV/f.u. As for the space-group type: Imma, No. 74.